Here is a relaxed LaZn crystal from Alexandria. Energies are from GGA-PBE.

The structure in extended XYZ format:
```
4
Lattice="5.171 0.000 0.000 -2.585 4.478 0.000 0.000 0.000 4.864" Properties=species:S:1:pos:R:3 pbc="T T T"
La 0.000 2.985 1.216
La 2.585 1.493 3.648
Zn 0.000 0.000 0.000
Zn 0.000 0.000 2.432
```


Here is a relaxed LaZn crystal from Alexandria. Energies are from GGA-PBE.

The structure in extended XYZ format:
```
8
Lattice="-4.457 4.457 2.712 4.457 -4.457 2.712 4.457 4.457 -2.712" Properties=species:S:1:pos:R:3 pbc="T T T"
La 2.576 0.000 0.000
La 6.338 0.000 0.000
La 0.000 2.576 0.000
La 0.000 6.338 0.000
Zn 3.160 3.160 0.000
Zn 1.297 -1.297 2.712
Zn -1.297 1.297 2.712
Zn 1.297 1.297 2.712
```


Here is a relaxed LaZn3 crystal from Alexandria. Energies are from GGA-PBE.

The structure in extended XYZ format:
```
4
Lattice="6.084 0.000 0.000 0.000 6.084 0.000 0.000 0.000 6.084" Properties=species:S:1:pos:R:3 pbc="T T T"
La 0.000 0.000 0.000
Zn 0.000 0.000 3.042
Zn 0.000 3.042 0.000
Zn 3.042 0.000 0.000
```


Here is a relaxed LaZn crystal from Alexandria. Energies are from GGA-PBE.

The structure in extended XYZ format:
```
4
Lattice="3.585 0.000 0.000 -1.793 3.105 0.000 0.000 0.000 10.906" Properties=species:S:1:pos:R:3 pbc="T T T"
La 0.000 2.070 0.000
La 1.793 1.035 5.453
Zn 0.000 2.070 3.116
Zn 1.793 1.035 8.569
```


Here is a relaxed LaZn crystal from Alexandria. Energies are from GGA-PBE.

The structure in extended XYZ format:
```
4
Lattice="2.298 1.327 5.876 -2.298 1.327 5.876 0.000 -2.654 5.876" Properties=species:S:1:pos:R:3 pbc="T T T"
La 0.000 0.000 1.735
La 0.000 0.000 15.894
Zn 0.000 0.000 5.725
Zn 0.000 0.000 11.904
```


Here is a relaxed La3Zn crystal from Alexandria. Energies are from GGA-PBE.

The structure in extended XYZ format:
```
4
Lattice="-1.938 2.779 5.923 1.938 -2.779 5.923 1.938 2.779 -5.923" Properties=species:S:1:pos:R:3 pbc="T T T"
La 0.000 0.000 0.000
La 1.938 0.000 3.410
La 0.000 2.779 2.513
Zn 0.000 0.000 5.923
```


| no. | ρ (g cm⁻³) | E (eV per atom) | E_form (meV per atom) |
| --- | --- | --- | --- |
| 1 | 6.02 | -3.28 | -183 |
| 2 | 6.30 | -3.33 | -226 |
| 3 | 2.47 | -1.21 | 976 |
| 4 | 5.59 | -2.87 | 234 |
| 5 | 6.31 | -3.33 | -227 |
| 6 | 6.27 | -4.15 | -133 |